[1]
Li2FeTc PBE optimized geometry; SG = P4/mmm; energy above the most stable polymorph in this dataset = 0.40 eV per formula unit; calculated volume = 54.26 Å³ per cell
1.0
2.4729 0.0000 0.0000
0.0000 2.4729 0.0000
0.0000 0.0000 8.8731
Li Fe Tc
2 1 1
Direct
0.0000 0.0000 0.5036 Li
0.0000 0.0000 0.9964 Li
0.5000 0.5000 0.7500 Fe
0.5000 0.5000 0.2500 Tc

---

[2]
ScFeSb PBE optimized geometry; ΔE_f (raw) = -112.7 kJ/mol of formula units; SG = C2/m; calculated volume = 231.50 Å³ per cell
1.0
6.7424 0.0000 -0.2753
0.0000 4.0621 0.0000
-6.9856 0.0000 8.7379
Fe Sc Sb
4 4 4
Direct
0.3076 0.0000 0.3721 Fe
0.6924 0.0000 0.6279 Fe
0.3076 0.5000 0.8721 Fe
0.6924 0.5000 0.1279 Fe
0.3054 0.5000 0.5440 Sc
0.3054 0.0000 0.0440 Sc
0.6946 0.0000 0.9560 Sc
0.6946 0.5000 0.4560 Sc
0.1354 0.5000 0.1787 Sb
0.8646 0.0000 0.3213 Sb
0.8646 0.5000 0.8213 Sb
0.1354 0.0000 0.6787 Sb

---

| no. | E_tot (eV/cell) |
| --- | --- |
| 1 | -21.47 |
| 2 | -80.34 |